Er5Pb3 | PBE-GGA | optimized geometry

- crystal system = hexagonal
- raw total energy (eV/atom) = -4.76
- DFT formation energy (meV/atom) = -518
- energy above the most stable polymorph in this dataset (meV per atom) = 0
- density (g cm⁻³) = 10.57

a b c (Å): 8.9808 8.9808 6.5582
angles (deg): 90.00 90.00 120.00
Closest atoms and distances in Å follow each position.
Fractional positions:
Er 0.0000 0.2359 0.2500  3 Pb 3.09-3.32
Er 0.0000 0.7641 0.7500  3 Pb 3.09-3.32
Er 0.2359 0.0000 0.2500  3 Pb 3.09-3.32
Er 0.2359 0.2359 0.7500  3 Pb 3.09-3.32
Er 0.3333 0.6667 0.0000  6 Pb 3.21, 2 Er 3.28
Er 0.3333 0.6667 0.5000  6 Pb 3.21, 2 Er 3.28
Er 0.6667 0.3333 0.0000  6 Pb 3.21, 2 Er 3.28
Er 0.6667 0.3333 0.5000  6 Pb 3.21, 2 Er 3.28
Er 0.7641 0.0000 0.7500  3 Pb 3.09-3.32
Er 0.7641 0.7641 0.2500  3 Pb 3.09-3.32
Pb 0.0000 0.3947 0.7500  7 Er 3.09-3.32
Pb 0.0000 0.6053 0.2500  7 Er 3.09-3.32
Pb 0.3947 0.0000 0.7500  7 Er 3.09-3.32
Pb 0.3947 0.3947 0.2500  7 Er 3.09-3.32
Pb 0.6053 0.0000 0.2500  7 Er 3.09-3.32
Pb 0.6053 0.6053 0.7500  7 Er 3.09-3.32

=====

DyTlPb2 | PBE-GGA | optimized geometry

- crystal system = trigonal
- raw total energy (eV/atom) = -3.61
- DFT formation energy (meV/atom) = -18
- density (g cm⁻³) = 9.85

a b c (Å): 4.9987 4.9987 18.2690
angles (deg): 90.00 90.00 120.00
Closest atoms and distances in Å follow each position.
Fractional positions:
Dy 0.0000 0.0000 0.0000  6 Pb 3.12-3.23, 1 Tl 3.27
Dy 0.3333 0.6667 0.6667  6 Pb 3.12-3.23, 1 Tl 3.27
Dy 0.6667 0.3333 0.3333  6 Pb 3.12-3.23, 1 Tl 3.27
Tl 0.0000 0.0000 0.1790  1 Dy 3.27, 6 Pb 3.31-3.41
Tl 0.3333 0.6667 0.8457  1 Dy 3.27, 6 Pb 3.31-3.41
Tl 0.6667 0.3333 0.5123  1 Dy 3.27, 6 Pb 3.31-3.41
Pb 0.0000 0.0000 0.4133  3 Dy 3.23, 3 Tl 3.41, 1 Pb 3.43
Pb 0.0000 0.0000 0.6011  3 Dy 3.12, 3 Tl 3.31, 1 Pb 3.43
Pb 0.3333 0.6667 0.0800  3 Dy 3.23, 3 Tl 3.41, 1 Pb 3.43
Pb 0.3333 0.6667 0.2678  3 Dy 3.12, 3 Tl 3.31, 1 Pb 3.43
Pb 0.6667 0.3333 0.7466  3 Dy 3.23, 3 Tl 3.41, 1 Pb 3.43
Pb 0.6667 0.3333 0.9345  3 Dy 3.12, 3 Tl 3.31, 1 Pb 3.43

=====

Mn2CuBr5 | PBE-GGA | optimized geometry

- crystal system = monoclinic
- raw total energy (eV/atom) = -4.44
- uncorrected formation energy (eV/atom) = -0.5942
- density (g cm⁻³) = 3.35

a b c (Å): 11.9418 7.8671 6.6989
angles (deg): 90.00 115.57 90.00
Closest atoms and distances in Å follow each position.
Fractional positions:
Mn 0.0000 0.2133 0.0000  4 Br 2.48-2.58
Mn 0.0000 0.7867 0.0000  4 Br 2.48-2.58
Mn 0.5000 0.2867 0.0000  4 Br 2.48-2.58
Mn 0.5000 0.7133 0.0000  4 Br 2.48-2.58
Cu 0.1738 0.0000 0.4668  2 Br 2.29
Cu 0.6738 0.5000 0.4668  2 Br 2.29
Br 0.0919 0.0000 0.8202  2 Mn 2.57
Br 0.1522 0.2837 0.3819  1 Cu 2.29, 1 Mn 2.48
Br 0.1522 0.7163 0.3819  1 Cu 2.29, 1 Mn 2.48
Br 0.3390 0.5000 0.9989  2 Mn 2.55
Br 0.4259 0.0000 0.7969  2 Mn 2.58, 1 Cu 2.87
Br 0.5919 0.5000 0.8202  2 Mn 2.57
Br 0.6522 0.2163 0.3819  1 Cu 2.29, 1 Mn 2.48
Br 0.6522 0.7837 0.3819  1 Cu 2.29, 1 Mn 2.48
Br 0.8390 0.0000 0.9989  2 Mn 2.55
Br 0.9259 0.5000 0.7969  2 Mn 2.58, 1 Cu 2.87

=====

LaNd4Ho6 | PBE-GGA | optimized geometry

- crystal system = tetragonal
- raw total energy (eV/atom) = -4.37
- DFT formation energy (meV/atom) = 311
- energy above the most stable polymorph in this dataset (meV per atom) = 164
- density (g cm⁻³) = 7.42

a b c (Å): 9.7380 9.7380 9.7380
angles (deg): 139.77 139.77 58.21
Closest atoms and distances in Å follow each position.
Fractional positions:
La 0.0000 0.0000 0.0000  8 Ho 3.35-3.70, 4 Nd 3.51
Nd 0.0145 0.6325 0.0000  5 Ho 3.40-3.65, 1 La 3.51, 1 Nd 3.62
Nd 0.3675 0.3675 0.3820  5 Ho 3.40-3.65, 1 La 3.51, 1 Nd 3.62
Nd 0.6325 0.0145 0.0000  5 Ho 3.40-3.65, 1 La 3.51, 1 Nd 3.62
Nd 0.9855 0.9855 0.6180  5 Ho 3.40-3.65, 1 La 3.51, 1 Nd 3.62
Ho 0.0000 0.5000 0.5000  4 Ho 3.24, 2 La 3.35
Ho 0.1976 0.1976 0.6429  3 Ho 3.24-3.38, 3 Nd 3.40-3.50
Ho 0.4454 0.8024 0.0000  3 Ho 3.24-3.38, 3 Nd 3.40-3.50
Ho 0.5000 0.0000 0.5000  4 Ho 3.24, 2 La 3.35
Ho 0.5546 0.5546 0.3571  3 Ho 3.24-3.38, 3 Nd 3.40-3.50
Ho 0.8024 0.4454 0.0000  3 Ho 3.24-3.38, 3 Nd 3.40-3.50

=====

KNpCdSe3 | PBE-GGA | optimized geometry

- crystal system = monoclinic
- raw total energy (eV/atom) = -5.23
- uncorrected formation energy (eV/atom) = -0.9934
- density (g cm⁻³) = 5.47

a b c (Å): 8.9532 4.3160 10.2561
angles (deg): 90.00 106.70 90.00
Closest atoms and distances in Å follow each position.
Fractional positions:
K 0.2109 0.2500 0.2284  5 Se 3.36-3.52
K 0.7891 0.7500 0.7716  5 Se 3.36-3.52
Np 0.3274 0.7500 0.8603  6 Se 2.87-3.14
Np 0.6726 0.2500 0.1397  6 Se 2.87-3.14
Cd 0.0867 0.2500 0.6096  4 Se 2.63-2.80
Cd 0.9133 0.7500 0.3904  4 Se 2.63-2.80
Se 0.1053 0.2500 0.8698  1 Cd 2.63
Se 0.2288 0.7500 0.5405  3 Cd 2.70-2.80
Se 0.4602 0.7500 0.1503  3 Np 2.87-2.90
Se 0.5398 0.2500 0.8497  3 Np 2.87-2.90
Se 0.7712 0.2500 0.4595  3 Cd 2.70-2.80
Se 0.8947 0.7500 0.1302  1 Cd 2.63

=====

Li3Mg | PBE-GGA | optimized geometry

- crystal system = cubic
- raw total energy (eV/atom) = -1.86
- DFT formation energy (meV/atom) = -28
- density (g cm⁻³) = 0.93

a b c (Å): 6.8581 6.8581 6.8581
angles (deg): 90.00 90.00 90.00
Closest atoms and distances in Å follow each position.
Fractional positions:
Li 0.0000 0.0000 0.0000  8 Li 2.97
Li 0.0000 0.5000 0.5000  8 Li 2.97
Li 0.2500 0.2500 0.2500  4 Li 2.97, 4 Mg 2.97
Li 0.2500 0.2500 0.7500  4 Li 2.97, 4 Mg 2.97
Li 0.2500 0.7500 0.2500  4 Li 2.97, 4 Mg 2.97
Li 0.2500 0.7500 0.7500  4 Li 2.97, 4 Mg 2.97
Li 0.5000 0.0000 0.5000  8 Li 2.97
Li 0.5000 0.5000 0.0000  8 Li 2.97
Li 0.7500 0.2500 0.2500  4 Li 2.97, 4 Mg 2.97
Li 0.7500 0.2500 0.7500  4 Li 2.97, 4 Mg 2.97
Li 0.7500 0.7500 0.2500  4 Li 2.97, 4 Mg 2.97
Li 0.7500 0.7500 0.7500  4 Li 2.97, 4 Mg 2.97
Mg 0.0000 0.0000 0.5000  8 Li 2.97
Mg 0.0000 0.5000 0.0000  8 Li 2.97
Mg 0.5000 0.0000 0.0000  8 Li 2.97
Mg 0.5000 0.5000 0.5000  8 Li 2.97

=====

Dy6Mg5Sc | PBE-GGA | optimized geometry

- crystal system = orthorhombic
- raw total energy (eV/atom) = -3.53
- DFT formation energy (meV/atom) = -42
- density (g cm⁻³) = 5.78

a b c (Å): 9.2906 9.2906 9.2906
angles (deg): 146.63 131.36 60.27
Closest atoms and distances in Å follow each position.
Fractional positions:
Dy 0.0830 0.3338 0.7492  7 Mg 3.28-3.33, 1 Sc 3.29
Dy 0.2487 0.0000 0.2487  6 Mg 3.26-3.29, 2 Sc 3.29
Dy 0.4155 0.6662 0.7492  7 Mg 3.28-3.33, 1 Sc 3.29
Dy 0.5845 0.3338 0.2508  7 Mg 3.28-3.33, 1 Sc 3.29
Dy 0.7513 0.0000 0.7513  6 Mg 3.26-3.29, 2 Sc 3.29
Dy 0.9170 0.6662 0.2508  7 Mg 3.28-3.33, 1 Sc 3.29
Mg 0.0000 0.5000 0.5000  8 Dy 3.28
Mg 0.1674 0.1674 0.0000  8 Dy 3.28-3.29
Mg 0.3362 0.8362 0.5000  8 Dy 3.26-3.33
Mg 0.6638 0.1638 0.5000  8 Dy 3.26-3.33
Mg 0.8326 0.8326 0.0000  8 Dy 3.28-3.29
Sc 0.5000 0.5000 0.0000  8 Dy 3.29

=====

NiTeCl4 | PBE-GGA | optimized geometry

- crystal system = cubic
- raw total energy (eV/atom) = -1.75
- uncorrected formation energy (eV/atom) = 0.9677
- density (g cm⁻³) = 4.00

a b c (Å): 5.7733 5.7733 5.7733
angles (deg): 60.00 60.00 60.00
Closest atoms and distances in Å follow each position.
Fractional positions:
Ni 0.0000 0.0000 0.0000  12 Cl 3.38, 4 Te 3.54
Te 0.7500 0.7500 0.7500  12 Cl 3.39, 4 Ni 3.54
Cl 0.3745 0.3745 0.3745  6 Cl 2.88-2.90
Cl 0.3745 0.3745 0.8764  6 Cl 2.88-2.90
Cl 0.3745 0.8764 0.3745  6 Cl 2.88-2.90
Cl 0.8764 0.3745 0.3745  6 Cl 2.88-2.90

=====

Looking at total moment for the records above, in order, we have 0.000 0.000 19.978 0.000 8.001 0.000 0.000 1.848 Bohr magnetons per cell.